## AcYHo6 (PBE-GGA)

Data for a relaxed structure of AcYHo6.

Values from the calculation:
As for the density of states at the Fermi level: 11.5 states/eV/f.u. The electronic total energy comes out at -37.66 eV/cell. The value obtained for the polymorph energy (0 for the lowest one) is 0.000 eV/atom.

```
data_AcYHo6
_chemical_formula_sum 'Ac1 Y1 Ho6'
_cell_length_a 5.080
_cell_length_b 5.080
_cell_length_c 10.150
_cell_angle_alpha 90.00
_cell_angle_beta 90.00
_cell_angle_gamma 90.00
_space_group_name_H-M_alt 'P 4/m m m'
_space_group_IT_number 123
_space_group_name_Hall '-P 4 2'
loop_
_atom_site_label
_atom_site_fract_x
_atom_site_fract_y
_atom_site_fract_z
Ac1 0.000 0.000 0.000
Y1 0.000 0.000 0.500
Ho1 0.000 0.500 0.258
Ho2 0.500 0.500 0.000
Ho3 0.500 0.500 0.500
```